## Sc3AlC (GGA-PBE)

Data for an optimized crystal structure of Sc3AlC. Values from VASP.

Structure (Quantum ESPRESSO input):
```
&SYSTEM
  ibrav = 0, nat = 5, ntyp = 3
/
ATOMIC_SPECIES
Sc 44.96 Sc.upf
C 12.01 C.upf
Al 26.98 Al.upf
CELL_PARAMETERS angstrom
-3.2757 2.1937 2.1950
-3.0468 -1.6678 -2.8802
-0.5889 -3.5730 2.6920
ATOMIC_POSITIONS crystal
Sc 0.0000 0.5000 0.0000
Sc 0.5000 0.0000 0.0000
Sc 0.0000 0.0000 0.5000
C 0.0000 0.0000 0.0000
Al 0.5000 0.5000 0.5000
```

Output
The distance to the lowest polymorph of the same formula is 0 kJ/mol of formula units. The volume is 18.37 A^3/atom. The calculation puts the raw total energy at -6.99 eV per atom. For the total magnetization, the calculation gives 0.0 Bohr magnetons per cell. For the density of states at the Fermi level, the calculation gives 0.38 states/eV/cell.